No. 1
## MgAg3Au (PBE)

Data for an optimized crystal structure of MgAg3Au.

The calculation puts the total energy at -0.2060 Ry per atom. The magnetization is 0.000 μB per atom. Its density of states at the Fermi level is 0.31 states/eV per atom. The calculation puts the formation energy from the elements at -118 meV/atom.

The structure belongs to space group Cmcm (No. 63); the cell edges are 4.610, 9.724 and 8.609 Å and the angles 90.00°, 90.00° and 90.00°. The distinct sites, in fractional coordinates, are Mg at (0.000, 0.000, 0.000), Ag at (0.000, 0.309, 0.063), Ag at (0.000, 0.447, 0.750) and Au at (0.000, 0.159, 0.750).

=====

No. 2
## CsNa2InBr4 (PBE)

Data for an optimized crystal structure of CsNa2InBr4.

The calculation puts the total energy at -0.2143 Ry per atom. The magnetization is 0.000 μB per atom. As for the formation energy (no corrections): -125.53 kJ per mole of atoms. Its density of states at the Fermi level is 0.00 states/eV per atom.

The structure belongs to space group Cmcm (No. 63); the cell edges are 4.435, 16.249 and 17.133 Å and the angles 90.00°, 90.00° and 90.00°. The distinct sites, in fractional coordinates, are Cs at (0.000, 0.192, 0.250), Na at (0.000, 0.371, 0.014), In at (0.000, 0.097, 0.750), Br at (0.000, 0.000, 0.000), Br at (0.000, 0.228, 0.599) and Br at (0.000, 0.475, 0.750).

=====

No. 3
## Pm5Er3Tm (PBE)

Data for an optimized crystal structure of Pm5Er3Tm.

The calculation puts the total energy at -0.3234 Ry per atom. The magnetization is 0.000 μB per atom. Its density of states at the Fermi level is 1.20 states/eV per atom. The calculation puts the formation energy from the elements at 257 meV/atom.

The structure belongs to space group Cmcm (No. 63); the cell edges are 12.769, 8.537 and 10.983 Å and the angles 90.00°, 90.00° and 90.00°. The distinct sites, in fractional coordinates, are Pm at (0.000, 0.164, 0.250), Pm at (0.141, 0.177, 0.528), Er at (0.000, 0.500, 0.000), Er at (0.208, 0.494, 0.750) and Tm at (0.000, 0.262, 0.750).

=====

No. 4
## Rb3SiRu (PBE)

Data for an optimized crystal structure of Rb3SiRu.

The calculation puts the total energy at -0.1615 Ry per atom. The magnetization is 0.189 μB per atom. As for the formation energy (no corrections): 127.60 kJ per mole of atoms. Its density of states at the Fermi level is 0.22 states/eV per atom.

The structure belongs to space group Pm-3m (No. 221); the cell edges are 6.385, 6.385 and 6.385 Å and the angles 90.00°, 90.00° and 90.00°. The distinct sites, in fractional coordinates, are Rb at (0.000, 0.000, 0.500), Si at (0.500, 0.500, 0.500) and Ru at (0.000, 0.000, 0.000).